Entry 1:
This record from the Alexandria database describes a geometry-optimized Pm6Dy7Y16 structure. The functional is PBE-GGA.

Cell: 11.2240 11.2240 11.2240 Å, 60.00 60.00 60.00°
Atoms (fractional coordinates):
Dy  0.5000  0.5000  0.0000
Dy  0.0000  0.0000  0.5000
Dy  0.0000  0.5000  0.0000
Dy  0.0000  0.5000  0.5000
Dy  0.0000  0.0000  0.0000
Dy  0.5000  0.0000  0.0000
Dy  0.5000  0.0000  0.5000
Pm  0.2788  0.7212  0.2788
Pm  0.7212  0.2788  0.7212
Pm  0.7212  0.2788  0.2788
Pm  0.2788  0.7212  0.7212
Pm  0.7212  0.7212  0.2788
Pm  0.2788  0.2788  0.7212
Y  0.6531  0.6531  0.0408
Y  0.3469  0.9592  0.3469
Y  0.1230  0.1230  0.6309
Y  0.3469  0.3469  0.9592
Y  0.8770  0.8770  0.3691
Y  0.6531  0.0408  0.6531
Y  0.1230  0.1230  0.1230
Y  0.3469  0.3469  0.3469
Y  0.6309  0.1230  0.1230
Y  0.6531  0.6531  0.6531
Y  0.8770  0.8770  0.8770
Y  0.3691  0.8770  0.8770
Y  0.9592  0.3469  0.3469
Y  0.0408  0.6531  0.6531
Y  0.8770  0.3691  0.8770
Y  0.1230  0.6309  0.1230

Calculated values
Crystal system: cubic
Magnetization in μB/atom: 0.2272
DOS at the Fermi energy in states/eV per atom: 1.941
Mass density in g/cm³: 5.7
ΔE_f in eV/atom: 0.2422
Space group: Fm-3m, No. 225

=====

Entry 2:
This record from the Alexandria database describes a geometry-optimized SrRhBrN2 structure. The functional is PBE-GGA.

Cell: 4.6621 6.4781 4.6621 Å, 90.00 90.00 90.00°
Atoms (fractional coordinates):
Br  0.5000  0.5000  0.5000
N  0.0000  0.0000  0.5000
N  0.5000  0.0000  0.0000
Sr  0.0000  0.0000  0.0000
Rh  0.0000  0.5000  0.0000

Calculated values
Crystal system: tetragonal
Magnetization in μB/atom: 0.6306
DOS at the Fermi energy in states/eV per atom: 2.667
Mass density in g/cm³: 3.5
Space group: P4/mmm, No. 123
Uncorrected formation energy in eV/atom: 1.84

=====

Entry 3:
This record from the Alexandria database describes a geometry-optimized La5Nd2Sm6 structure. The functional is PBE-GGA.

Cell: 3.6798 11.9211 21.1862 Å, 90.00 90.00 90.00°
Atoms (fractional coordinates):
La  0.5000  0.6980  0.5637
La  0.5000  0.5000  0.0000
La  0.5000  0.3020  0.4363
La  0.5000  0.4342  0.7153
La  0.5000  0.0658  0.2153
La  0.5000  0.5658  0.2847
La  0.5000  0.0000  0.5000
La  0.5000  0.8020  0.0637
La  0.5000  0.1980  0.9363
La  0.5000  0.9342  0.7847
Sm  0.0000  0.4329  0.8609
Sm  0.0000  0.4302  0.5702
Sm  0.0000  0.9302  0.9298
Sm  0.0000  0.5671  0.1391
Sm  0.5000  0.8132  0.3723
Sm  0.5000  0.1868  0.6277
Sm  0.0000  0.0671  0.3609
Sm  0.5000  0.3132  0.1277
Sm  0.0000  0.0698  0.0702
Sm  0.5000  0.6868  0.8723
Sm  0.0000  0.9329  0.6391
Sm  0.0000  0.5698  0.4298
Nd  0.0000  0.8081  0.2244
Nd  0.0000  0.1919  0.7756
Nd  0.0000  0.6919  0.7244
Nd  0.0000  0.3081  0.2756

Calculated values
Crystal system: orthorhombic
Magnetization in μB/atom: 0.0000
DOS at the Fermi energy in states/eV per atom: 1.331
Mass density in g/cm³: 6.7
ΔE_f in eV/atom: 0.0837
Space group: Pbam, No. 55